1.
Below is a relaxed structure of TaCoTc2H, with properties calculated at the PBE level.

Cell: 3.855 3.855 4.036 Å, 90.00 90.00 90.00°
Element x y z (fractional)
Ta 0.000 0.000 0.000
Co 0.500 0.500 0.000
Tc 0.000 0.500 0.500
Tc 0.500 0.000 0.500
H 0.000 0.000 0.500

Theoretical density (Mg/m³): 12.09
DOS at the Fermi energy (states/eV/f.u.): 4.5

***

2.
Below is a relaxed structure of TaCoTc2H, with properties calculated at the PBE level.

Cell: 3.947 3.947 3.807 Å, 90.00 90.00 90.00°
Element x y z (fractional)
Ta 0.000 0.000 0.000
Co 0.500 0.500 0.000
Tc 0.000 0.500 0.500
Tc 0.500 0.000 0.500
H 0.500 0.500 0.500

Theoretical density (Mg/m³): 12.23
DOS at the Fermi energy (states/eV/f.u.): 5.2

***

Comparing the structures above, 2 comes out on top by 69 meV/atom.